No. 1
A geometry-optimized RbBeRe2P structure, computed with PBE-GGA.

Cell: 4.3157 5.2073 4.3157 Å, 90.00 90.00 90.00°
Last column: nearest neighbours and their distance in Å.
Element x y z (fractional)
Re 0.0000 0.0000 0.5000  2 Be 2.16
Re 0.5000 0.0000 0.0000  2 Be 2.16
Be 0.0000 0.0000 0.0000  4 Re 2.16
Rb 0.0000 0.5000 0.0000  2 Be 2.60
P 0.5000 0.5000 0.5000  4 Rb 3.05, 8 Re 3.38

Calculated values
VASP energy = -5.12 eV per atom
size of the total moment = 1.23 μB/cell
space group = P4/mmm
Fermi-level density of states = 1.238 states/eV/atom
ΔE_f = 9.41 eV per formula unit



No. 2
A geometry-optimized PrMgNi structure, computed with PBE-GGA.

Cell: 4.8748 6.8577 7.9347 Å, 90.00 90.00 90.00°
Last column: nearest neighbours and their distance in Å.
Element x y z (fractional)
Pr 0.2500 0.8108 0.4481  4 Ni 2.93-3.09, 3 Mg 3.20-3.25
Pr 0.7500 0.3108 0.0519  4 Ni 2.93-3.09, 3 Mg 3.20-3.25
Pr 0.2500 0.6892 0.9481  4 Ni 2.93-3.09, 3 Mg 3.20-3.25
Pr 0.7500 0.1892 0.5519  4 Ni 2.93-3.09, 3 Mg 3.20-3.25
Mg 0.7500 0.8692 0.1810  4 Ni 2.59-2.76
Mg 0.7500 0.6308 0.6810  4 Ni 2.59-2.76
Mg 0.2500 0.1308 0.8190  4 Ni 2.59-2.76
Mg 0.2500 0.3692 0.3190  4 Ni 2.59-2.76
Ni 0.7500 0.5534 0.3601  4 Mg 2.59-2.76
Ni 0.7500 0.9466 0.8601  4 Mg 2.59-2.76
Ni 0.2500 0.0534 0.1399  4 Mg 2.59-2.76
Ni 0.2500 0.4466 0.6399  4 Mg 2.59-2.76

Calculated values
VASP energy = -4.23 eV per atom
size of the total moment = 0.00 μB/cell
space group = Pnma
Fermi-level density of states = 0.817 states/eV/atom
ΔE_f = -0.52 eV per formula unit



No. 3
A geometry-optimized Tm6Cd5Ga structure, computed with PBE-GGA.

Cell: 5.1795 7.3286 8.2083 Å, 90.00 71.61 90.00°
Last column: nearest neighbours and their distance in Å.
Element x y z (fractional)
Tm 0.8377 0.7532 0.3245  1 Ga 3.11, 7 Cd 3.14-3.23
Tm 0.8377 0.2468 0.3245  1 Ga 3.11, 7 Cd 3.14-3.23
Tm 0.5000 0.2405 0.0000  2 Ga 3.13, 6 Cd 3.21-3.23
Tm 0.5000 0.7595 0.0000  2 Ga 3.13, 6 Cd 3.21-3.23
Tm 0.1623 0.7532 0.6755  1 Ga 3.11, 7 Cd 3.14-3.23
Tm 0.1623 0.2468 0.6755  1 Ga 3.11, 7 Cd 3.14-3.23
Ga 0.0000 0.0000 0.0000  8 Tm 3.11-3.13
Cd 0.6679 0.5000 0.6641  8 Tm 3.19-3.23
Cd 0.3273 0.0000 0.3454  8 Tm 3.14-3.22
Cd 0.0000 0.5000 0.0000  8 Tm 3.14-3.21
Cd 0.6727 0.0000 0.6546  8 Tm 3.14-3.22
Cd 0.3321 0.5000 0.3359  8 Tm 3.19-3.23

Calculated values
VASP energy = -3.22 eV per atom
size of the total moment = 0.00 μB/cell
space group = Cmmm
Fermi-level density of states = 0.786 states/eV/atom
ΔE_f = -4.25 eV per formula unit



No. 4
A geometry-optimized Mn3Cu2 structure, computed with PBE-GGA.

Cell: 4.1269 4.1269 5.0785 Å, 90.00 90.00 120.00°
Last column: nearest neighbours and their distance in Å.
Element x y z (fractional)
Mn 0.0000 0.0000 0.0000  6 Cu 2.50
Mn 0.6667 0.3333 0.6467  5 Cu 2.54-2.60, 3 Mn 2.81
Mn 0.3333 0.6667 0.3533  5 Cu 2.54-2.60, 3 Mn 2.81
Cu 0.6667 0.3333 0.1461  8 Mn 2.50-2.60
Cu 0.3333 0.6667 0.8539  8 Mn 2.50-2.60

Calculated values
VASP energy = -6.69 eV per atom
size of the total moment = 11.46 μB/cell
space group = P-3m1
Fermi-level density of states = 0.664 states/eV/atom
energy relative to the lowest polymorph listed for this composition = 255.2 meV/atom
ΔE_f = 2.26 eV per formula unit



No. 5
A geometry-optimized Nd5MgIn2 structure, computed with PBE-GGA.

Cell: 7.1336 7.1336 6.9062 Å, 121.11 121.10 89.99°
Last column: nearest neighbours and their distance in Å.
Element x y z (fractional)
Nd 0.7220 0.2223 0.9441  2 Mg 3.45, 6 Nd 3.45-3.57, 4 In 3.45
Nd 0.2223 0.2222 0.9447  6 Nd 3.45-3.57, 4 In 3.45, 2 Mg 3.45
Nd 0.7217 0.7217 0.9435  4 In 3.45, 6 Nd 3.45-3.57, 2 Mg 3.45
Nd 0.2224 0.7222 0.9446  4 In 3.45, 2 Mg 3.45, 6 Nd 3.45-3.57
Nd 0.7225 0.7223 0.4444  8 Nd 3.45, 4 In 3.56-3.57
Mg 0.2213 0.2217 0.4439  8 Nd 3.45, 4 In 3.56-3.57
In 0.2221 0.7224 0.4444  10 Nd 3.45-3.57, 2 Mg 3.56-3.57
In 0.7227 0.2221 0.4444  10 Nd 3.45-3.57, 2 Mg 3.56-3.57

Calculated values
VASP energy = -4.14 eV per atom
size of the total moment = 0.00 μB/cell
space group = Cm
Fermi-level density of states = 1.183 states/eV/atom
ΔE_f = -2.18 eV per formula unit



No. 6
A geometry-optimized Pm2AlOs3 structure, computed with PBE-GGA.

Cell: 5.4658 5.4658 5.3909 Å, 89.91 120.36 120.19°
Last column: nearest neighbours and their distance in Å.
Element x y z (fractional)
Pm 0.7559 0.3775 0.1334  9 Os 3.16-3.19, 3 Al 3.20-3.21, 4 Pm 3.21-3.37
Pm 0.2441 0.6225 0.8666  9 Os 3.16-3.19, 3 Al 3.20-3.21, 4 Pm 3.21-3.37
Al 0.0000 0.0000 0.0000  6 Os 2.70
Os 0.5000 0.5000 0.5000  2 Al 2.70, 4 Os 2.72-2.73
Os 0.0000 0.0000 0.5000  2 Al 2.70, 4 Os 2.72-2.73
Os 0.5000 0.0000 0.5000  2 Al 2.70, 4 Os 2.73

Calculated values
VASP energy = -8.08 eV per atom
size of the total moment = 0.00 μB/cell
space group = C2/m
Fermi-level density of states = 1.095 states/eV/atom
ΔE_f = -1.52 eV per formula unit



No. 7
A geometry-optimized KVGe2 structure, computed with PBE-GGA.

Cell: 5.5486 5.5486 8.9441 Å, 71.93 71.93 90.00°
Last column: nearest neighbours and their distance in Å.
Element x y z (fractional)
Ge 0.8758 0.1250 0.2500  2 V 2.44
Ge 0.8742 0.6250 0.2500  2 V 2.44
Ge 0.3750 0.1242 0.7500  2 V 2.44
Ge 0.8750 0.1258 0.7500  2 V 2.44
K 0.5000 0.5000 0.0000  8 Ge 3.69-3.70, 4 V 3.92
K 0.2500 0.7500 0.5000  8 Ge 3.69-3.70, 4 V 3.92
V 0.0000 0.0000 0.0000  4 Ge 2.44
V 0.7500 0.2500 0.5000  4 Ge 2.44

Calculated values
VASP energy = -4.58 eV per atom
size of the total moment = 3.17 μB/cell
space group = I4_1/amd
Fermi-level density of states = 0.920 states/eV/atom
energy relative to the lowest polymorph listed for this composition = 0.0 meV/atom
ΔE_f = 1.12 eV per formula unit



No. 8
A geometry-optimized AlTl2ZnSe4 structure, computed with PBE-GGA.

Cell: 7.1146 7.1146 6.7854 Å, 121.56 121.55 90.07°
Last column: nearest neighbours and their distance in Å.
Element x y z (fractional)
Al 0.9859 0.4860 0.9718  4 Se 2.40
Tl 0.4857 0.9858 0.9710  4 Se 3.22
Tl 0.2356 0.2355 0.4713  4 Se 3.07
Zn 0.7357 0.7358 0.4715  4 Se 2.49
Se 0.6821 0.5912 0.7094  1 Al 2.40, 1 Zn 2.49
Se 0.8812 0.4453 0.2354  1 Al 2.40, 1 Zn 2.49
Se 0.3540 0.7895 0.2343  1 Al 2.40, 1 Zn 2.49
Se 0.0269 0.1180 0.7094  1 Al 2.40, 1 Zn 2.49

Calculated values
VASP energy = -3.49 eV per atom
size of the total moment = 0.00 μB/cell
space group = I-4
uncorrected formation energy = -0.52 eV per atom
Fermi-level density of states = 0.799 states/eV/atom



No. 9
A geometry-optimized CsSbPt structure, computed with PBE-GGA.

Cell: 8.2638 7.5686 8.3742 Å, 90.00 124.81 90.00°
Last column: nearest neighbours and their distance in Å.
Element x y z (fractional)
Pt 0.4021 0.6177 0.5629  3 Sb 2.60-2.62
Pt 0.0979 0.1177 0.4371  3 Sb 2.60-2.62
Pt 0.5979 0.3823 0.4371  3 Sb 2.60-2.62
Pt 0.9021 0.8823 0.5629  3 Sb 2.60-2.62
Sb 0.2715 0.8580 0.6844  3 Pt 2.60-2.62
Sb 0.2285 0.3580 0.3156  3 Pt 2.60-2.62
Sb 0.7285 0.1420 0.3156  3 Pt 2.60-2.62
Sb 0.7715 0.6420 0.6844  3 Pt 2.60-2.62
Cs 0.7772 0.6343 0.1730  1 Pt 3.38
Cs 0.7228 0.1343 0.8270  1 Pt 3.38
Cs 0.2228 0.3657 0.8270  1 Pt 3.38
Cs 0.2772 0.8657 0.1730  1 Pt 3.38

Calculated values
VASP energy = -4.18 eV per atom
size of the total moment = 0.00 μB/cell
space group = P2_1/c
uncorrected formation energy = -0.51 eV per atom
Fermi-level density of states = 0.352 states/eV/atom
energy relative to the lowest polymorph listed for this composition = 0.0 meV/atom



No. 10
A geometry-optimized Pm3Ho2Th structure, computed with PBE-GGA.

Cell: 6.5166 8.1102 8.1102 Å, 71.27 90.00 90.00°
Last column: nearest neighbours and their distance in Å.
Element x y z (fractional)
Pm 0.0933 0.8626 0.4964  2 Th 3.24-3.28, 4 Ho 3.36-3.63, 1 Pm 3.46
Pm 0.5933 0.5036 0.1374  2 Th 3.24-3.28, 4 Ho 3.36-3.63, 1 Pm 3.46
Pm 0.0933 0.4964 0.8626  2 Th 3.24-3.28, 4 Ho 3.36-3.63, 1 Pm 3.46
Pm 0.5933 0.1374 0.5036  2 Th 3.24-3.28, 4 Ho 3.36-3.63, 1 Pm 3.46
Pm 0.3168 0.9144 0.9144  3 Th 3.34-3.56, 2 Ho 3.40, 2 Pm 3.71
Pm 0.8168 0.0856 0.0856  3 Th 3.34-3.56, 2 Ho 3.40, 2 Pm 3.71
Ho 0.5778 0.7559 0.3941  5 Pm 3.36-3.63, 1 Ho 3.42, 1 Th 3.74
Ho 0.0778 0.6059 0.2441  5 Pm 3.36-3.63, 1 Ho 3.42, 1 Th 3.74
Ho 0.5778 0.3941 0.7559  5 Pm 3.36-3.63, 1 Ho 3.42, 1 Th 3.74
Ho 0.0778 0.2441 0.6059  5 Pm 3.36-3.63, 1 Ho 3.42, 1 Th 3.74
Th 0.7992 0.8284 0.8284  7 Pm 3.24-3.56
Th 0.2992 0.1716 0.1716  7 Pm 3.24-3.56

Calculated values
VASP energy = -4.89 eV per atom
size of the total moment = 0.00 μB/cell
space group = Cmc2_1
Fermi-level density of states = 1.674 states/eV/atom
energy relative to the lowest polymorph listed for this composition = 0.0 meV/atom
ΔE_f = 1.47 eV per formula unit